This record from Alexandria via LeMat-Bulk describes a geometry-optimized LaTa2Cr structure. The functional is GGA-PBE.

Results
**Offset from the most stable computed form**: 508 meV per atom
**Formation energy from the elements**: 0.8074 eV/atom

Lattice parameters (Å, degrees): 5.792 5.792 2.825 90.00 90.00 124.56
Fractional positions:
Ta: 0.500 0.500 0.000
La: 0.000 0.500 0.500
Ta: 0.000 0.000 0.000
Cr: 0.500 0.000 0.500


This record from Alexandria via LeMat-Bulk describes a geometry-optimized La2TaCr structure. The functional is GGA-PBE.

Results
**Offset from the most stable computed form**: 0 meV per atom
**Formation energy from the elements**: 0.3455 eV/atom

Lattice parameters (Å, degrees): 3.338 3.339 9.510 69.93 90.00 90.00
Fractional positions:
La: 0.500 0.187 0.303
La: 0.000 0.074 0.933
Ta: 0.000 0.431 0.568
Cr: 0.500 0.807 0.697


This record from Alexandria via LeMat-Bulk describes a geometry-optimized La2TaCr structure. The functional is GGA-PBE.

Results
**Offset from the most stable computed form**: 209 meV per atom
**Formation energy from the elements**: 0.5540 eV/atom

Lattice parameters (Å, degrees): 10.004 10.004 10.004 19.27 19.27 19.27
Fractional positions:
Ta: 0.483 0.483 0.483
Cr: 0.760 0.760 0.760
La: 0.015 0.015 0.015
La: 0.242 0.242 0.242


This record from Alexandria via LeMat-Bulk describes a geometry-optimized LaTa2Cr structure. The functional is GGA-PBE.

Results
**Offset from the most stable computed form**: 265 meV per atom
**Formation energy from the elements**: 0.5642 eV/atom

Lattice parameters (Å, degrees): 5.878 5.878 5.878 147.72 132.19 58.86
Fractional positions:
Ta: 0.982 0.982 0.000
Ta: 0.518 0.518 0.000
Cr: 0.750 0.250 0.500
La: 0.250 0.750 0.500


This record from Alexandria via LeMat-Bulk describes a geometry-optimized La2TaCr structure. The functional is GGA-PBE.

Results
**Offset from the most stable computed form**: 593 meV per atom
**Formation energy from the elements**: 0.9385 eV/atom

Lattice parameters (Å, degrees): 5.119 5.119 5.119 60.00 60.00 60.00
Fractional positions:
La: 0.750 0.750 0.750
La: 0.250 0.250 0.250
Ta: 0.500 0.500 0.500
Cr: 0.000 0.000 0.000


This record from Alexandria via LeMat-Bulk describes a geometry-optimized LaTaCr3 structure. The functional is GGA-PBE.

Results
**Offset from the most stable computed form**: 997 meV per atom
**Formation energy from the elements**: 2.0012 eV/atom

Lattice parameters (Å, degrees): 4.451 4.451 4.451 90.00 90.00 90.00
Fractional positions:
Cr: 0.000 0.000 0.500
La: 0.000 0.000 0.000
Cr: 0.000 0.500 0.000
Cr: 0.500 0.000 0.000
Ta: 0.500 0.500 0.500